CdCo2Ir: relaxed, PBE.

a b c (Å): 2.7252 2.7252 7.4491
angles (deg): 90.00 90.00 90.00
Closest atoms and distances in Å follow each position.
Sites, in units of the cell vectors:
Cd 0.5000 0.5000 0.7500  4 Cd 2.73, 8 Co 2.81
Co 0.0000 0.0000 0.0251  4 Ir 2.55, 4 Co 2.73, 4 Cd 2.81
Co 0.0000 0.0000 0.4749  4 Ir 2.55, 4 Co 2.73, 4 Cd 2.81
Ir 0.5000 0.5000 0.2500  8 Co 2.55, 4 Ir 2.73

- formation enthalpy at 0 K (meV/atom) = 190



Sb3Pd8Pt2: relaxed, PBE.

a b c (Å): 5.2806 5.2806 10.2921
angles (deg): 75.14 75.14 60.00
Closest atoms and distances in Å follow each position.
Sites, in units of the cell vectors:
Sb 0.0000 0.0000 0.0000  6 Pt 3.17, 12 Pd 3.51-3.53
Sb 0.8124 0.8124 0.5627  10 Pd 2.56-2.86
Sb 0.1876 0.1876 0.4373  10 Pd 2.56-2.86
Pd 0.7255 0.7255 0.8235  1 Sb 2.56, 1 Pt 2.60
Pd 0.2745 0.2745 0.1765  1 Sb 2.56, 1 Pt 2.60
Pd 0.2254 0.7251 0.3243  4 Pd 2.64, 1 Pt 2.78, 3 Sb 2.80-2.86
Pd 0.7251 0.2254 0.3243  4 Pd 2.64, 1 Pt 2.78, 3 Sb 2.80-2.86
Pd 0.7251 0.7251 0.3243  4 Pd 2.64, 1 Pt 2.78, 3 Sb 2.80-2.86
Pd 0.2749 0.7746 0.6757  4 Pd 2.64, 1 Pt 2.78, 3 Sb 2.80-2.86
Pd 0.7746 0.2749 0.6757  4 Pd 2.64, 1 Pt 2.78, 3 Sb 2.80-2.86
Pd 0.2749 0.2749 0.6757  4 Pd 2.64, 1 Pt 2.78, 3 Sb 2.80-2.86
Pt 0.6374 0.6374 0.0879  4 Pd 2.60-2.78
Pt 0.3626 0.3626 0.9121  4 Pd 2.60-2.78

- energy relative to the elements, uncorrected (eV per atom) = -0.01



Number 1: N(E_F) 1.18 states/eV per atom, VASP energy -23.23 eV/cell. Number 2: N(E_F) 0.62 states/eV per atom, VASP energy -66.16 eV/cell.